Compound: VH2F
Source: Alexandria via LeMat-Bulk
Functional: GGA+U
Structure: optimized geometry

* distance to the lowest polymorph of the same formula: 0 meV per atom
* size of the total moment: 2.0 μB per formula unit
* energy: -17.8 eV for the cell shown

Lattice parameters (Å, degrees): 4.368 4.368 4.368 41.62 41.62 41.62
Sites, in units of the cell vectors:
V: 0.000 0.000 0.000
H: 0.299 0.299 0.299
H: 0.701 0.701 0.701
F: 0.500 0.500 0.500